This record from the Alexandria database describes Mn3AsO6 after structural relaxation. The functional is PBE+U.

The structure in extended XYZ format:
```
20
Lattice="-2.581 1.972 -4.420 -5.592 -3.347 1.772 -1.062 5.838 3.225" Properties=species:S:1:pos:R:3 pbc="T T T"
Mn -7.114 1.857 1.617
O -3.876 5.050 -0.130
O -5.010 -0.852 1.303
O -3.465 4.503 3.129
O -7.314 0.303 0.099
Mn -7.319 5.044 -0.245
As -4.347 6.224 -1.342
O -5.040 2.271 1.987
Mn -3.178 0.383 -1.339
Mn -3.383 3.571 -3.201
O -5.164 -0.502 -1.516
O -3.515 7.679 -0.959
O -4.398 2.348 -1.758
As -6.065 -0.861 -0.097
O -6.731 -2.444 -0.194
O -6.408 3.101 -0.248
O -1.315 3.698 1.515
Mn -4.522 2.755 0.155
O -3.030 1.518 0.477
Mn -3.659 0.903 2.228
```

* energy relative to the lowest polymorph listed for this composition: 0 meV per atom
* VASP energy: -7.210 eV per atom
* SG: No. 36